(1)
This record from Alexandria via LeMat-Bulk describes an optimized crystal structure of Cs4SrU3O12. The functional is GGA-PBE.

CIF file:
```
data_Cs4SrU3O12
_cell_length_a 8.971
_cell_length_b 8.971
_cell_length_c 8.971
_cell_angle_alpha 90.00
_cell_angle_beta 90.00
_cell_angle_gamma 90.00
_space_group_name_H-M_alt 'I m -3 m'
_space_group_IT_number 229
_space_group_name_Hall '-I 4 2 3'
loop_
_atom_site_label
_atom_site_type_symbol
_atom_site_fract_x
_atom_site_fract_y
_atom_site_fract_z
Cs1 Cs 0.250 0.250 0.250
Sr1 Sr 0.000 0.000 0.000
U1 U 0.000 0.000 0.500
O1 O 0.000 0.000 0.283
O2 O 0.000 0.250 0.500
```

Its crystal system is cubic. The value obtained for the energy relative to the elements, uncorrected is -64.1 kcal/mol of atoms.

(2)
This record from Alexandria via LeMat-Bulk describes an optimized crystal structure of KAu2Br. The functional is GGA-PBE.

CIF file:
```
data_KAu2Br
_cell_length_a 7.365
_cell_length_b 7.365
_cell_length_c 7.365
_cell_angle_alpha 90.00
_cell_angle_beta 90.00
_cell_angle_gamma 90.00
_space_group_name_H-M_alt 'F -4 3 m'
_space_group_IT_number 216
_space_group_name_Hall 'F -4 2 3'
loop_
_atom_site_label
_atom_site_type_symbol
_atom_site_fract_x
_atom_site_fract_y
_atom_site_fract_z
K1 K 0.000 0.000 0.000
Au1 Au 0.000 0.000 0.500
Au2 Au 0.250 0.250 0.250
Br1 Br 0.250 0.250 0.750
```

Its crystal system is cubic. The value obtained for the energy relative to the elements, uncorrected is -2.3 kcal/mol of atoms. For the energy above the most stable polymorph in this dataset, the calculation gives 355.2 meV per atom.

(3)
This record from Alexandria via LeMat-Bulk describes an optimized crystal structure of Ba2POs. The functional is GGA-PBE.

CIF file:
```
data_Ba2POs
_cell_length_a 4.654
_cell_length_b 4.654
_cell_length_c 10.549
_cell_angle_alpha 90.00
_cell_angle_beta 90.00
_cell_angle_gamma 90.00
_space_group_name_H-M_alt 'I -4 m 2'
_space_group_IT_number 119
_space_group_name_Hall 'I -4 -2'
loop_
_atom_site_label
_atom_site_type_symbol
_atom_site_fract_x
_atom_site_fract_y
_atom_site_fract_z
Ba1 Ba 0.000 0.000 0.000
Ba2 Ba 0.000 0.500 0.250
P1 P 0.000 0.000 0.500
Os1 Os 0.000 0.500 0.750
```

As for the calculated formation energy: 0.60 eV/atom. Its crystal system is tetragonal.

Q: What is the formula in the first record?
A: Cs4SrU3O12